The following is a DFT calculation (PBE) of a geometry-optimized Rb2LiDyI6 structure.

Properties
E   -0.1167 Ha/atom

a = 8.314 Å, b = 8.587 Å, c = 14.456 Å
α = 90.00°, β = 124.92°, γ = 90.00°
Space group P2_1/c (No. 14)
Symmetry-distinct sites (fractional):
Rb: 0.229 0.065 0.249 [4 per cell]
Li: 0.000 0.000 0.500 [2 per cell]
Dy: 0.500 0.000 0.000 [2 per cell]
I: 0.166 0.203 0.962 [4 per cell]
I: 0.264 0.707 0.964 [4 per cell]
I: 0.323 0.008 0.749 [4 per cell]

The following is a DFT calculation (PBE) of a geometry-optimized RbLi2DyI6 structure.

Properties
E   -0.1165 Ha/atom

a = 7.936 Å, b = 7.939 Å, c = 8.610 Å
α = 62.56°, β = 62.64°, γ = 60.08°
Space group P1 (No. 1)
Symmetry-distinct sites (fractional):
Rb: 0.000 0.000 0.000 [1 per cell]
Li: 0.204 0.201 0.393 [1 per cell]
Li: 0.711 0.711 0.865 [1 per cell]
Dy: 0.521 0.521 0.438 [1 per cell]
I: 0.113 0.783 0.642 [1 per cell]
I: 0.367 0.529 0.166 [1 per cell]
I: 0.462 0.112 0.642 [1 per cell]
I: 0.529 0.937 0.166 [1 per cell]
I: 0.783 0.462 0.643 [1 per cell]
I: 0.936 0.368 0.167 [1 per cell]

The following is a DFT calculation (PBE) of a geometry-optimized Rb3Li2DyI8 structure.

Properties
E   -0.1111 Ha/atom

a = 8.4526 Å, b = 8.4526 Å, c = 10.5196 Å
α = 90.00°, β = 90.00°, γ = 120.00°
Space group P-3m1 (No. 164)
Symmetry-distinct sites (fractional):
Rb: 0.0000 0.0000 0.0000 [1 per cell]
Rb: 0.3333 0.6667 0.6185 [2 per cell]
Li: 0.3333 0.6667 0.1927 [2 per cell]
Dy: 0.0000 0.0000 0.5000 [1 per cell]
I: 0.1650 0.3300 0.3277 [6 per cell]
I: 0.3333 0.6667 0.9476 [2 per cell]

The following is a DFT calculation (PBE) of a geometry-optimized LiDySnI6 structure.

Properties
E   -0.1182 Ha/atom

a = 7.6460 Å, b = 7.6460 Å, c = 14.0812 Å
α = 90.00°, β = 90.00°, γ = 120.00°
Space group P-31c (No. 163)
Symmetry-distinct sites (fractional):
Li: 0.3333 0.6667 0.2500 [2 per cell]
Dy: 0.3333 0.6667 0.7500 [2 per cell]
Sn: 0.0000 0.0000 0.0000 [2 per cell]
I: 0.0032 0.3507 0.1280 [12 per cell]

The following is a DFT calculation (PBE) of a geometry-optimized LiDyTeI structure.

Properties
E   -0.1431 Ha/atom

a = 4.2622 Å, b = 4.2622 Å, c = 22.6533 Å
α = 90.00°, β = 90.00°, γ = 120.00°
Space group R3m (No. 160, hexagonal axes)
Symmetry-distinct sites (fractional):
Li: 0.0000 0.0000 0.0000 [3 per cell]
Dy: 0.0000 0.0000 0.5368 [3 per cell]
Te: 0.0000 0.0000 0.2845 [3 per cell]
I: 0.0000 0.0000 0.7828 [3 per cell]

The following is a DFT calculation (PBE) of a geometry-optimized Dy2LuI structure.

Properties
E   -0.1504 Ha/atom

a = 3.609 Å, b = 3.609 Å, c = 9.392 Å
α = 90.00°, β = 90.00°, γ = 90.00°
Space group P4/mmm (No. 123)
Symmetry-distinct sites (fractional):
Dy: 0.000 0.000 0.247 [2 per cell]
Lu: 0.500 0.500 0.500 [1 per cell]
I: 0.500 0.500 0.000 [1 per cell]

The following is a DFT calculation (PBE) of a geometry-optimized Dy2LuI structure.

Properties
E   -0.1399 Ha/atom

a = 3.5673 Å, b = 3.5673 Å, c = 35.1294 Å
α = 90.00°, β = 90.00°, γ = 120.00°
Space group R-3m (No. 166, hexagonal axes)
Symmetry-distinct sites (fractional):
Dy: 0.0000 0.0000 0.0951 [6 per cell]
Lu: 0.0000 0.0000 0.0000 [3 per cell]
I: 0.0000 0.0000 0.5000 [3 per cell]

The following is a DFT calculation (PBE) of a geometry-optimized DyLuI2 structure.

Properties
E   -0.1339 Ha/atom

a = 3.8152 Å, b = 3.8152 Å, c = 31.7521 Å
α = 90.00°, β = 90.00°, γ = 120.00°
Space group R-3m (No. 166, hexagonal axes)
Symmetry-distinct sites (fractional):
Dy: 0.0000 0.0000 0.0000 [3 per cell]
Lu: 0.0000 0.0000 0.5000 [3 per cell]
I: 0.0000 0.0000 0.4033 [6 per cell]

The following is a DFT calculation (PBE) of a geometry-optimized DyMgI4 structure.

Properties
E   -0.1157 Ha/atom

a = 7.794 Å, b = 4.106 Å, c = 7.853 Å
α = 90.00°, β = 92.69°, γ = 90.00°
Space group P2/m (No. 10)
Symmetry-distinct sites (fractional):
Dy: 0.000 0.000 0.000 [1 per cell]
Mg: 0.500 0.500 0.000 [1 per cell]
I: 0.178 0.500 0.772 [2 per cell]
I: 0.343 0.000 0.212 [2 per cell]

The following is a DFT calculation (PBE) of a geometry-optimized DyMg2I6 structure.

Properties
E   -0.1056 Ha/atom

a = 7.9163 Å, b = 7.9163 Å, c = 23.4091 Å
α = 90.00°, β = 90.00°, γ = 120.00°
Space group R3 (No. 146, hexagonal axes)
Symmetry-distinct sites (fractional):
Dy: 0.0000 0.0000 0.0000 [3 per cell]
Mg: 0.0000 0.0000 0.2688 [3 per cell]
Mg: 0.0000 0.0000 0.3937 [3 per cell]
I: 0.0034 0.3059 0.0813 [9 per cell]
I: 0.0284 0.6676 0.5858 [9 per cell]

The following is a DFT calculation (PBE) of a geometry-optimized DyMgI6 structure.

Properties
E   -0.1069 Ha/atom

a = 7.509 Å, b = 14.721 Å, c = 7.468 Å
α = 90.00°, β = 112.43°, γ = 90.00°
Space group C2/m (No. 12)
Symmetry-distinct sites (fractional):
Dy: 0.000 0.000 0.000 [2 per cell]
Mg: 0.000 0.500 0.500 [2 per cell]
I: 0.192 0.000 0.699 [4 per cell]
I: 0.214 0.360 0.765 [8 per cell]

The following is a DFT calculation (PBE) of a geometry-optimized DyMgI structure.

Properties
E   -0.1083 Ha/atom

a = 3.7714 Å, b = 3.7714 Å, c = 16.2970 Å
α = 90.00°, β = 90.00°, γ = 120.00°
Space group P-6m2 (No. 187)
Symmetry-distinct sites (fractional):
Dy: 0.0000 0.0000 0.1574 [2 per cell]
Mg: 0.6667 0.3333 0.0000 [1 per cell]
Mg: 0.6667 0.3333 0.5000 [1 per cell]
I: 0.6667 0.3333 0.2937 [2 per cell]

no.,raw formation energy (meV/atom)
1,-1400.4
2,-1301.2
3,-1328.5
4,-1014.1
5,-1091.2
6,-272.7
7,12.8
8,-587.6
9,-1081.5
10,-975.5
11,-972.0
12,-363.7